--- a ---
Material: AsPd3C
Method: DFT, PBE
State: relaxed

```
AsPd3C
1.0
4.6161 0.0000 0.0000
0.0000 4.6161 0.0000
0.0000 0.0000 4.6161
As Pd C
1 3 1
Cartesian
0.0000 0.0000 0.0000
0.0000 0.0000 2.3081
0.0000 2.3081 0.0000
2.3081 0.0000 0.0000
2.3081 2.3081 2.3081
```


--- b ---
Material: AsPd3C
Method: DFT, PBE
State: relaxed

```
AsPd3C
1.0
4.1888 0.0000 0.0000
0.0000 4.1888 0.0000
0.0000 0.0000 4.1888
As Pd C
1 3 1
Cartesian
0.0000 0.0000 0.0000
0.0000 2.0944 2.0944
2.0944 0.0000 2.0944
2.0944 2.0944 0.0000
2.0944 2.0944 2.0944
```


Question: of the structures shown, which is the least stable? Reply: a.